VASP calculation (GGA-PBE) on an optimized crystal structure of AgSe.

Computed properties:
electronic total energy	-0.227	Ry/atom
space group	No. 176
DOS(E_F)	0.4676	states/eV/atom
formation energy (no corrections)	0.075	eV/atom

abc: 8.5719 8.5719 4.6611
angles: 90.00 90.00 120.00
Sites, in units of the cell vectors:
Ag: 0.1026 0.6255 0.7500
Ag: 0.5229 0.8974 0.7500
Ag: 0.6255 0.5229 0.2500
Ag: 0.4771 0.1026 0.2500
Ag: 0.8974 0.3745 0.2500
Ag: 0.3745 0.4771 0.7500
Se: 0.0292 0.2948 0.7500
Se: 0.7345 0.0292 0.2500
Se: 0.9708 0.7052 0.2500
Se: 0.2655 0.9708 0.7500
Se: 0.7052 0.7345 0.7500
Se: 0.2948 0.2655 0.2500

=====

VASP calculation (GGA-PBE) on an optimized crystal structure of AcTlSnAu.

Computed properties:
electronic total energy	-0.284	Ry/atom
space group	No. 216
DOS(E_F)	0.7268	states/eV/atom

abc: 5.4123 5.4123 5.4123
angles: 60.00 60.00 60.00
Sites, in units of the cell vectors:
Tl: 0.0000 0.0000 0.0000
Sn: 0.2500 0.2500 0.2500
Ac: 0.7500 0.7500 0.7500
Au: 0.5000 0.5000 0.5000

=====

VASP calculation (GGA-PBE) on an optimized crystal structure of Ba6Na2PN.

Computed properties:
electronic total energy	-0.229	Ry/atom
space group	No. 166
DOS(E_F)	0.9098	states/eV/atom
formation energy (no corrections)	-0.328	eV/atom

abc: 8.6770 8.6770 15.3265
angles: 73.56 73.56 60.00
Sites, in units of the cell vectors:
N: 0.0000 0.0000 0.0000
N: 0.5000 0.5000 0.5000
P: 0.5887 0.5887 0.2339
P: 0.4113 0.4113 0.7661
Na: 0.1243 0.1243 0.6271
Na: 0.7092 0.7092 0.8725
Na: 0.2908 0.2908 0.1275
Na: 0.8757 0.8757 0.3729
Ba: 0.8371 0.3900 0.3829
Ba: 0.1953 0.1953 0.8872
Ba: 0.2777 0.8047 0.1128
Ba: 0.6100 0.1629 0.6171
Ba: 0.1629 0.6100 0.6171
Ba: 0.7223 0.1953 0.8872
Ba: 0.6100 0.6100 0.6171
Ba: 0.3900 0.8371 0.3829
Ba: 0.3900 0.3900 0.3829
Ba: 0.8047 0.8047 0.1128
Ba: 0.1953 0.7223 0.8872
Ba: 0.8047 0.2777 0.1128

=====

VASP calculation (GGA-PBE) on an optimized crystal structure of Mg2IrRu2.

Computed properties:
electronic total energy	-0.421	Ry/atom
space group	No. 139
DOS(E_F)	0.6741	states/eV/atom
energy above the most stable polymorph in this dataset	0.2411	eV/atom

abc: 3.3800 3.3800 8.1127
angles: 77.98 77.98 90.00
Sites, in units of the cell vectors:
Mg: 0.5935 0.5935 0.8130
Mg: 0.4065 0.4065 0.1870
Ru: 0.2500 0.7500 0.5000
Ru: 0.7500 0.2500 0.5000
Ir: 0.0000 0.0000 0.0000